# 1
## LaCrHg (meta-GGA SCAN)

Data for a PBEsol-optimized structure of LaCrHg.

```
LaCrHg
1.0
3.4841 0.0000 0.0000
0.0000 3.4938 0.0000
-1.7420 -1.7469 5.7030
Cr Hg La
1 1 1
direct
0.0199 0.0199 0.0398
0.6392 0.6392 0.2784
0.3409 0.3409 0.6818
```

- ΔH_f (0 K) (eV per atom) = -0.107
- E (eV per atom) = -43.326
- D(E_F) (states/eV/cell) = 2.599


# 2
## LaCrHg (meta-GGA SCAN)

Data for a PBEsol-optimized structure of LaCrHg.

```
LaCrHg
1.0
-1.4457 -2.0183 -4.0585
-4.0263 -2.5326 -0.0949
-3.8230 1.6941 -2.2693
Cr Hg La
1 1 1
direct
0.2500 0.2500 0.2500
0.0000 0.0000 0.0000
0.5000 0.5000 0.5000
```

- ΔH_f (0 K) (eV per atom) = -0.032
- E (eV per atom) = -43.250
- D(E_F) (states/eV/cell) = 1.924


# 3
## LiCr2Hg (meta-GGA SCAN)

Data for a PBEsol-optimized structure of LiCr2Hg.

```
LiCr2Hg
1.0
3.9014 0.0000 0.0000
0.0000 4.1228 0.0000
0.0000 0.0000 4.1228
Cr Hg Li
2 1 1
direct
0.0000 0.0000 0.5000
0.0000 0.5000 0.0000
0.5000 0.5000 0.5000
0.5000 0.0000 0.0000
```

- ΔH_f (0 K) (eV per atom) = 0.209
- E (eV per atom) = -26.622
- D(E_F) (states/eV/cell) = 1.683


# 4
## LiCr2Hg (meta-GGA SCAN)

Data for a PBEsol-optimized structure of LiCr2Hg.

```
LiCr2Hg
1.0
-0.0417 -1.7660 1.8990
4.1604 1.5978 1.5772
-4.1824 2.0787 1.8414
Cr Hg Li
2 1 1
direct
0.0000 0.0000 0.5000
0.0000 0.5000 0.5000
0.5000 0.0000 0.0000
0.5000 0.5000 0.0000
```

- ΔH_f (0 K) (eV per atom) = 0.616
- E (eV per atom) = -26.215
- D(E_F) (states/eV/cell) = 2.414


# 5
## LiCr2Hg (meta-GGA SCAN)

Data for a PBEsol-optimized structure of LiCr2Hg.

```
LiCr2Hg
1.0
-0.8684 -2.8133 -0.6596
1.9252 -0.0497 -2.3227
4.5356 -2.2928 3.8084
Cr Hg Li
2 1 1
direct
0.0000 0.0000 0.0340
0.5000 0.5000 0.1976
0.0000 0.0000 0.5082
0.5000 0.5000 0.7603
```

- ΔH_f (0 K) (eV per atom) = 0.049
- E (eV per atom) = -26.782
- D(E_F) (states/eV/cell) = 1.566


# 6
## Li2CrHg (meta-GGA SCAN)

Data for a PBEsol-optimized structure of Li2CrHg.

```
Li2CrHg
1.0
3.0017 0.0000 0.0000
1.5009 2.5996 0.0000
1.5009 0.8665 9.2087
Cr Hg Li
1 1 2
direct
0.5000 0.5000 0.5000
0.0000 0.0000 0.0000
0.2505 0.2505 0.2484
0.7495 0.7495 0.7516
```

- ΔH_f (0 K) (eV per atom) = 0.108
- E (eV per atom) = -22.724
- D(E_F) (states/eV/cell) = 1.831


Among the records above, which one has the lowest E? number 1